[1]
Crystalline Li2MgAu at its relaxed geometry. Source: Alexandria via LeMat-Bulk, functional PBEsol.

POSCAR file:
```
Li2MgAu
1.0
4.352 0.000 0.000
0.000 4.353 0.000
-2.176 -2.177 3.419
Mg Au Li
1 1 2
Direct
0.500 0.500 0.000
0.250 0.750 0.500
0.000 0.000 0.000
0.750 0.250 0.500
```

Results
The calculated formation energy comes out at -0.42 eV/atom. The space-group type is I-4m2 (119). As for the electronic total energy: -2.8122 eV/atom.

=====

[2]
Crystalline K2CaAl at its relaxed geometry. Source: Alexandria via LeMat-Bulk, functional PBEsol.

POSCAR file:
```
K2CaAl
1.0
4.058 0.000 0.000
2.029 3.514 0.000
2.029 1.171 12.417
Ca K Al
1 2 1
Direct
0.229 0.229 0.312
0.994 0.994 0.019
0.770 0.770 0.689
0.507 0.507 0.480
```

Results
The calculated formation energy comes out at 0.25 eV/atom. The space-group type is R3m (160). As for the electronic total energy: -1.8730 eV/atom.

=====

[3]
Crystalline TaRuCl at its relaxed geometry. Source: Alexandria via LeMat-Bulk, functional PBEsol.

POSCAR file:
```
TaRuCl
1.0
-0.674 -2.241 1.770
-2.062 -1.868 -3.150
4.091 -0.770 0.583
Ru Cl Ta
1 1 1
Direct
0.727 0.333 0.667
0.075 0.000 0.000
0.198 0.667 0.333
```

Results
The formation energy (no corrections) is 118.9 meV/atom. The space-group type is P3m1 (156). As for the electronic total energy: -8.1249 eV/atom.

=====

[4]
Crystalline MgCu2Ru at its relaxed geometry. Source: Alexandria via LeMat-Bulk, functional PBEsol.

POSCAR file:
```
MgCu2Ru
1.0
2.596 0.000 0.019
0.000 3.853 0.000
-0.037 0.000 5.304
Cu Mg Ru
2 1 1
Direct
0.000 0.000 0.734
0.000 0.000 0.266
0.500 0.500 0.000
0.500 0.500 0.500
```

Results
The calculated formation energy comes out at 0.18 eV/atom. The space-group type is Pmmm (47). As for the electronic total energy: -4.9622 eV/atom.

=====

[5]
Crystalline GdCdHg2 at its relaxed geometry. Source: Alexandria via LeMat-Bulk, functional PBEsol.

POSCAR file:
```
GdCdHg2
1.0
-3.887 -2.863 -1.358
-0.129 -2.046 -4.577
0.603 -4.948 -0.553
Gd Cd Hg
1 1 2
Direct
0.500 0.500 0.500
0.000 0.000 0.000
0.750 0.750 0.750
0.250 0.250 0.250
```

Results
The calculated formation energy comes out at -0.48 eV/atom. The space-group type is Fm-3m (225). As for the electronic total energy: -4.6775 eV/atom.

=====

[6]
Crystalline YSn2PdPt at its relaxed geometry. Source: Alexandria via LeMat-Bulk, functional PBEsol.

POSCAR file:
```
YSn2PdPt
1.0
4.903 0.000 0.000
0.000 5.571 0.000
0.000 0.000 5.571
Y Pd Sn Pt
1 1 2 1
Direct
0.000 0.000 0.000
0.500 0.500 0.500
0.000 0.000 0.500
0.000 0.500 0.000
0.500 0.000 0.000
```

Results
The calculated formation energy comes out at 1.03 eV/atom. The space-group type is P4/mmm (123). As for the electronic total energy: -4.6237 eV/atom.

=====

[7]
Crystalline TaCd2Te at its relaxed geometry. Source: Alexandria via LeMat-Bulk, functional PBEsol.

POSCAR file:
```
TaCd2Te
1.0
3.068 0.000 0.000
0.000 4.401 0.000
0.000 0.000 6.292
Cd Te Ta
2 1 1
Direct
0.000 0.000 0.777
0.000 0.000 0.223
0.500 0.500 0.500
0.500 0.500 0.000
```

Results
The formation energy (no corrections) is 447.1 meV/atom. The space-group type is Pmmm (47). As for the electronic total energy: -4.1707 eV/atom.

=====

[8]
Crystalline Tb2Ga8Fe at its relaxed geometry. Source: Alexandria via LeMat-Bulk, functional PBEsol.

POSCAR file:
```
Tb2Ga8Fe
1.0
4.161 0.000 0.000
0.000 4.161 0.000
0.000 0.000 11.009
Tb Ga Fe
2 8 1
Direct
0.000 0.000 0.694
0.000 0.000 0.306
0.500 0.000 0.885
0.000 0.500 0.885
0.500 0.000 0.115
0.000 0.500 0.115
0.500 0.000 0.500
0.000 0.500 0.500
0.500 0.500 0.695
0.500 0.500 0.305
0.000 0.000 0.000
```

Results
The calculated formation energy comes out at -0.51 eV/atom. The space-group type is P4/mmm (123). As for the electronic total energy: -4.6620 eV/atom.

=====

[9]
Crystalline Ir2RhBr at its relaxed geometry. Source: Alexandria via LeMat-Bulk, functional PBEsol.

POSCAR file:
```
Ir2RhBr
1.0
2.784 0.000 0.000
-1.392 4.281 0.013
0.000 -1.191 6.350
Ir Rh Br
2 1 1
Direct
0.966 0.932 0.087
0.713 0.426 0.238
0.462 0.925 0.423
0.359 0.718 0.752
```

Results
Its energy above the most stable polymorph in this dataset is 30 kJ/mol of formula units. The formation energy (no corrections) is 640.3 meV/atom. The space-group type is Cm (8). As for the electronic total energy: -6.7735 eV/atom.

=====

[10]
Crystalline TmSn3 at its relaxed geometry. Source: Alexandria via LeMat-Bulk, functional PBEsol.

POSCAR file:
```
TmSn3
1.0
4.352 0.000 0.000
0.000 4.309 0.000
-2.176 0.000 10.818
Tm Sn
2 6
Direct
0.482 0.500 0.965
0.209 0.000 0.418
0.099 0.500 0.197
0.735 0.500 0.469
0.870 0.500 0.739
0.976 0.000 0.953
0.357 0.000 0.715
0.598 0.000 0.196
```

Results
The calculated formation energy comes out at -0.38 eV/atom. The space-group type is Amm2 (38). As for the electronic total energy: -4.8036 eV/atom.

=====

[11]
Crystalline CoMo2Pt at its relaxed geometry. Source: Alexandria via LeMat-Bulk, functional PBEsol.

POSCAR file:
```
CoMo2Pt
1.0
-0.303 2.205 1.479
-4.293 -0.432 -0.234
0.050 -2.651 3.963
Mo Co Pt
2 1 1
Direct
0.000 0.000 0.049
0.000 0.500 0.714
0.500 0.500 0.202
0.500 0.000 0.534
```

Results
Its energy above the most stable polymorph in this dataset is 0 kJ/mol of formula units. The calculated formation energy comes out at -0.16 eV/atom. The space-group type is Pmm2 (25). As for the electronic total energy: -9.7196 eV/atom.

=====

[12]
Crystalline Sr5Ag at its relaxed geometry. Source: Alexandria via LeMat-Bulk, functional PBEsol.

POSCAR file:
```
Sr5Ag
1.0
-1.047 -1.146 3.705
2.607 -3.049 -0.206
11.469 9.393 6.148
Sr Ag
5 1
Direct
0.000 0.000 0.887
0.000 0.000 0.113
0.500 0.500 0.693
0.500 0.500 0.307
0.000 0.000 0.500
0.500 0.500 0.000
```

Results
Its energy above the most stable polymorph in this dataset is 0 kJ/mol of formula units. The calculated formation energy comes out at -0.07 eV/atom. The space-group type is P4/mmm (123). As for the electronic total energy: -2.1551 eV/atom.

=====

[13]
Crystalline Na2NbTc at its relaxed geometry. Source: Alexandria via LeMat-Bulk, functional PBEsol.

POSCAR file:
```
Na2NbTc
1.0
4.753 0.000 0.000
2.377 4.117 0.000
2.377 1.372 3.881
Na Nb Tc
2 1 1
Direct
0.250 0.250 0.250
0.750 0.750 0.750
0.000 0.000 0.000
0.500 0.500 0.500
```

Results
The calculated formation energy comes out at 1.70 eV/atom. The space-group type is Fm-3m (225). As for the electronic total energy: -4.5169 eV/atom.

=====

[14]
Crystalline In2Rh at its relaxed geometry. Source: Alexandria via LeMat-Bulk, functional PBEsol.

POSCAR file:
```
In2Rh
1.0
-2.070 0.614 -2.633
-2.768 -4.327 -1.035
-6.431 0.859 3.054
In Rh
4 2
Direct
0.404 0.321 0.871
0.156 0.250 0.438
0.844 0.750 0.562
0.596 0.679 0.129
0.860 0.099 0.180
0.140 0.901 0.820
```

Results
The calculated formation energy comes out at -0.29 eV/atom. The space-group type is C2/m (12). As for the electronic total energy: -4.9881 eV/atom.

=====

[15]
Crystalline Ba2AlH7 at its relaxed geometry. Source: Alexandria via LeMat-Bulk, functional PBEsol.

POSCAR file:
```
Ba2AlH7
1.0
-1.232 3.158 7.692
5.411 -3.619 5.565
4.324 5.604 -4.820
Ba Al H
8 4 28
Direct
0.483 0.930 0.744
0.017 0.744 0.930
0.517 0.070 0.256
0.983 0.256 0.070
0.475 0.432 0.717
0.025 0.717 0.432
0.525 0.568 0.283
0.975 0.283 0.568
0.797 0.034 0.678
0.703 0.678 0.034
0.203 0.966 0.322
0.297 0.322 0.966
0.571 0.105 0.600
0.929 0.600 0.105
0.429 0.895 0.400
0.071 0.400 0.895
0.780 0.817 0.616
0.720 0.616 0.817
0.220 0.183 0.384
0.280 0.384 0.183
0.828 0.019 0.482
0.672 0.482 0.019
0.172 0.981 0.518
0.328 0.518 0.981
0.026 0.953 0.752
0.474 0.752 0.953
0.974 0.047 0.248
0.526 0.248 0.047
0.810 0.245 0.754
0.690 0.754 0.245
0.190 0.755 0.246
0.310 0.246 0.755
0.779 0.041 0.878
0.721 0.878 0.041
0.221 0.959 0.122
0.279 0.122 0.959
0.125 0.545 0.662
0.375 0.662 0.545
0.875 0.455 0.338
0.625 0.338 0.455
```

Results
The space-group type is C2/c (15). As for the electronic total energy: -3.5729 eV/atom.

=====

[16]
Crystalline BPd3Au at its relaxed geometry. Source: Alexandria via LeMat-Bulk, functional PBEsol.

POSCAR file:
```
BPd3Au
1.0
4.124 0.000 0.000
0.000 4.124 0.000
0.000 0.000 4.124
B Au Pd
1 1 3
Direct
0.000 0.000 0.000
0.500 0.500 0.500
0.000 0.500 0.000
0.000 0.000 0.500
0.500 0.000 0.000
```

Results
The calculated formation energy comes out at -0.14 eV/atom. The space-group type is Pm-3m (221). As for the electronic total energy: -5.9015 eV/atom.

=====

[17]
Crystalline MnTeWN2 at its relaxed geometry. Source: Alexandria via LeMat-Bulk, functional PBEsol.

POSCAR file:
```
MnTeWN2
1.0
-2.210 -1.584 -2.566
2.667 0.457 -2.580
1.951 -4.655 1.193
Mn Te W N
1 1 1 2
Direct
0.000 0.000 0.000
0.000 0.000 0.500
0.500 0.500 0.500
0.000 0.500 0.000
0.500 0.000 0.000
```

Results
The formation energy (no corrections) is 1350.9 meV/atom. The space-group type is P4/mmm (123). As for the electronic total energy: -7.4787 eV/atom.

=====

[18]
Crystalline ReTeRh at its relaxed geometry. Source: Alexandria via LeMat-Bulk, functional PBEsol.

POSCAR file:
```
ReTeRh
1.0
4.255 0.000 0.000
2.128 3.685 0.000
2.128 1.228 3.474
Re Rh Te
1 1 1
Direct
0.000 0.000 0.000
0.500 0.500 0.500
0.250 0.250 0.250
```

Results
The formation energy (no corrections) is 599.2 meV/atom. The space-group type is F-43m (216). As for the electronic total energy: -7.7330 eV/atom.

=====

[19]
Crystalline CaHfSCl2 at its relaxed geometry. Source: Alexandria via LeMat-Bulk, functional PBEsol.

POSCAR file:
```
CaHfSCl2
1.0
-2.757 3.752 -1.538
-0.422 -2.115 -4.404
-4.434 -2.576 1.662
Ca Hf S Cl
1 1 1 2
Direct
0.000 0.000 0.000
0.500 0.500 0.500
0.000 0.000 0.500
0.000 0.500 0.000
0.500 0.000 0.000
```

Results
The formation energy (no corrections) is -495.0 meV/atom. The space-group type is P4/mmm (123). As for the electronic total energy: -4.7022 eV/atom.

=====

[20]
Crystalline Ba2Li2Tl at its relaxed geometry. Source: Alexandria via LeMat-Bulk, functional PBEsol.

POSCAR file:
```
Ba2Li2Tl
1.0
4.085 0.000 0.000
0.000 4.085 0.000
-2.043 -2.043 10.715
Tl Ba Li
1 2 2
Direct
0.000 0.000 0.000
0.401 0.401 0.801
0.599 0.599 0.199
0.250 0.750 0.500
0.750 0.250 0.500
```

Results
Its energy above the most stable polymorph in this dataset is 0 kJ/mol of formula units. The calculated formation energy comes out at -0.13 eV/atom. The space-group type is I4/mmm (139). As for the electronic total energy: -2.3053 eV/atom.

=====

[21]
Crystalline GaSbI3 at its relaxed geometry. Source: Alexandria via LeMat-Bulk, functional PBEsol.

POSCAR file:
```
GaSbI3
1.0
5.985 0.000 0.000
0.000 5.985 0.000
0.000 0.000 5.985
I Sb Ga
3 1 1
Direct
0.000 0.500 0.000
0.000 0.000 0.500
0.500 0.000 0.000
0.000 0.000 0.000
0.500 0.500 0.500
```

Results
The formation energy (no corrections) is 13.3 meV/atom. The space-group type is Pm-3m (221). As for the electronic total energy: -2.6262 eV/atom.

=====

[22]
Crystalline Zr2MnPt at its relaxed geometry. Source: Alexandria via LeMat-Bulk, functional PBEsol.

POSCAR file:
```
Zr2MnPt
1.0
3.224 0.000 0.000
0.000 3.224 0.000
0.000 0.000 6.445
Mn Zr Pt
1 2 1
Direct
0.500 0.500 0.500
0.000 0.000 0.264
0.000 0.000 0.736
0.500 0.500 0.000
```

Results
Its energy above the most stable polymorph in this dataset is 0 kJ/mol of formula units. The calculated formation energy comes out at -0.54 eV/atom. The space-group type is P4/mmm (123). As for the electronic total energy: -9.2663 eV/atom.

=====

[23]
Crystalline Ba6Li2Si4ClO15 at its relaxed geometry. Source: Alexandria via LeMat-Bulk, functional PBEsol.

POSCAR file:
```
Ba6Li2Si4ClO15
1.0
-0.393 -1.598 5.432
-2.283 -3.220 -4.078
25.353 -14.789 -2.517
Ba Li Si Cl O
12 4 8 2 30
Direct
0.000 0.000 0.500
0.000 0.000 0.000
0.000 0.000 0.648
0.000 0.000 0.852
0.000 0.000 0.148
0.000 0.000 0.352
0.667 0.333 0.585
0.667 0.333 0.915
0.333 0.667 0.085
0.333 0.667 0.415
0.333 0.667 0.750
0.667 0.333 0.250
0.333 0.667 0.646
0.333 0.667 0.854
0.667 0.333 0.146
0.667 0.333 0.354
0.333 0.667 0.556
0.333 0.667 0.944
0.667 0.333 0.056
0.667 0.333 0.444
0.667 0.333 0.694
0.667 0.333 0.806
0.333 0.667 0.194
0.333 0.667 0.306
0.000 0.000 0.750
0.000 0.000 0.250
0.979 0.489 0.674
0.511 0.021 0.674
0.511 0.489 0.674
0.979 0.489 0.826
0.511 0.021 0.826
0.511 0.489 0.826
0.489 0.979 0.174
0.021 0.511 0.174
0.489 0.511 0.174
0.489 0.979 0.326
0.021 0.511 0.326
0.489 0.511 0.326
0.178 0.355 0.576
0.178 0.822 0.576
0.645 0.822 0.576
0.178 0.355 0.924
0.178 0.822 0.924
0.645 0.822 0.924
0.355 0.178 0.076
0.822 0.178 0.076
0.822 0.645 0.076
0.355 0.178 0.424
0.822 0.178 0.424
0.822 0.645 0.424
0.667 0.333 0.750
0.333 0.667 0.250
0.333 0.667 0.501
0.333 0.667 0.999
0.667 0.333 0.001
0.667 0.333 0.499
```

Results
The formation energy (no corrections) is -2802.0 meV/atom. The space-group type is P6_3/mmc (194). As for the electronic total energy: -7.1078 eV/atom.

=====

[24]
Crystalline CrCoPS2 at its relaxed geometry. Source: Alexandria via LeMat-Bulk, functional PBEsol.

POSCAR file:
```
CrCoPS2
1.0
-4.052 0.591 -1.492
-0.815 -4.248 0.532
-1.401 0.784 4.115
Cr S Co P
1 2 1 1
Direct
0.000 0.000 0.000
0.000 0.500 0.000
0.500 0.000 0.000
0.500 0.500 0.500
0.000 0.000 0.500
```

Results
The formation energy (no corrections) is 711.4 meV/atom. The space-group type is P4/mmm (123). As for the electronic total energy: -5.7964 eV/atom.

=====

| no. | density of states at the Fermi level (states/eV/cell) | volume (Å³ per cell) | total magnetization (μB/f.u.) |
| --- | --- | --- | --- |
| 1 | 1.49 | 64.8 | 0.00 |
| 2 | 3.47 | 177.1 | 0.00 |
| 3 | 1.01 | 44.9 | 0.00 |
| 4 | 3.30 | 53.1 | 0.00 |
| 5 | 1.57 | 89.2 | 6.95 |
| 6 | 4.65 | 152.2 | 0.00 |
| 7 | 2.72 | 85.0 | 0.00 |
| 8 | 4.04 | 190.6 | 0.00 |
| 9 | 4.58 | 75.7 | 0.00 |
| 10 | 3.56 | 202.9 | 0.00 |
| 11 | 2.10 | 55.1 | 0.00 |
| 12 | 4.92 | 259.0 | 0.00 |
| 13 | 2.83 | 75.9 | 0.19 |
| 14 | 2.85 | 114.3 | 0.00 |
| 15 | 0.00 | 529.0 | 0.00 |
| 16 | 0.54 | 70.2 | 0.00 |
| 17 | 3.36 | 72.5 | 2.68 |
| 18 | 2.89 | 54.5 | 0.00 |
| 19 | 4.76 | 129.6 | 1.85 |
| 20 | 3.13 | 178.9 | 0.00 |
| 21 | 2.52 | 214.4 | 0.00 |
| 22 | 2.37 | 67.0 | 0.00 |
| 23 | 33.78 | 821.8 | 1.03 |
| 24 | 8.03 | 83.9 | 1.08 |